Record 1
## Tb3Hg2Au (PBE-GGA)

Data for an optimized crystal structure of Tb3Hg2Au.

Properties
* excess energy over the best structure of this formula in the dataset: 9 meV per atom
* D(E_F): 4.2 states/eV per cell
* crystal system: trigonal
* space-group type: P-3m1

Structure (CIF):
```
data_Tb3Hg2Au
_cell_length_a 5.214
_cell_length_b 5.214
_cell_length_c 6.418
_cell_angle_alpha 90.00
_cell_angle_beta 90.00
_cell_angle_gamma 120.00
_space_group_name_H-M_alt 'P 1'
_space_group_IT_number 1
_space_group_name_Hall 'P 1'
loop_
_atom_site_label
_atom_site_fract_x
_atom_site_fract_y
_atom_site_fract_z
Tb1 0.000 0.000 0.500
Tb2 0.667 0.333 0.847
Tb3 0.333 0.667 0.153
Hg1 0.667 0.333 0.348
Hg2 0.333 0.667 0.652
Au1 0.000 0.000 0.000
```


Record 2
## AlHg2W (PBE-GGA)

Data for an optimized crystal structure of AlHg2W.

Properties
* D(E_F): 2.5 states/eV per cell
* crystal system: orthorhombic
* space-group type: Imm2

Structure (CIF):
```
data_AlHg2W
_cell_length_a 5.816
_cell_length_b 5.816
_cell_length_c 5.816
_cell_angle_alpha 150.22
_cell_angle_beta 129.00
_cell_angle_gamma 60.18
_space_group_name_H-M_alt 'P 1'
_space_group_IT_number 1
_space_group_name_Hall 'P 1'
loop_
_atom_site_label
_atom_site_fract_x
_atom_site_fract_y
_atom_site_fract_z
Hg1 0.013 0.013 0.000
Hg2 0.739 0.239 0.500
W1 0.482 0.482 0.000
Al1 0.266 0.766 0.500
```


Number 1: calculated formation energy -0.60 eV/atom, calculated volume 25.2 Å³ per atom. Number 2: calculated formation energy 0.58 eV/atom, calculated volume 18.8 Å³ per atom.